Fe3Te: single point on PBEsol structure, SCAN. Values from VASP.

```
&SYSTEM
  ibrav = 0, nat = 4, ntyp = 2
/
ATOMIC_SPECIES
Fe 55.84 Fe.upf
Te 127.60 Te.upf
CELL_PARAMETERS angstrom
1.516 0.875 7.299
-1.516 0.875 7.299
0.000 -1.750 7.299
ATOMIC_POSITIONS crystal
Fe 0.000 0.000 0.000
Fe 0.257 0.257 0.257
Fe 0.743 0.743 0.743
Te 0.500 0.500 0.500
```

Calculated values
Calculated volume: 14.52 Å³ per atom
E_form (uncorrected): 490 meV per atom
Total energy: -22.42 eV per atom
Density: 8.44 g cm⁻³
Density of states at the Fermi level: 3.54 states/eV/f.u.